Below is a relaxed Tb2NdYSc4 crystal, with properties calculated at the GGA-PBE level.

**E_form**: 0.05 eV/atom
**Final energy**: -5.67 eV per atom

The structure in POSCAR format:
```
Tb2NdYSc4
1.0
4.949 0.000 0.000
0.000 4.852 0.951
0.000 3.064 10.062
Tb Nd Y Sc
2 1 1 4
Cartesian
0.000 3.064 10.062 Tb
2.475 1.532 5.031 Tb
0.000 3.958 5.507 Nd
2.475 2.426 0.476 Y
0.000 5.935 8.268 Sc
4.949 1.981 2.745 Sc
2.475 4.406 3.221 Sc
2.475 3.510 7.792 Sc
```